(1)
Material: Ac8CoPd2Pt
Method: DFT, GGA-PBE
State: optimized geometry

Calculated values
**D(E_F)**: 12.7 states/eV/cell
**Final energy**: -5.143 eV per atom
**Energy relative to the elements**: -0.443 eV/atom

a = 7.119 Å, b = 8.789 Å, c = 7.242 Å
α = 90.00°, β = 90.05°, γ = 90.00°
Space group P2/m (No. 10)
Asymmetric unit:
Ac 0.226 0.237 0.163 (multiplicity 4)
Ac 0.251 0.000 0.673 (multiplicity 2)
Ac 0.256 0.500 0.665 (multiplicity 2)
Co 0.000 0.000 0.000 (multiplicity 1)
Pd 0.500 0.249 0.500 (multiplicity 2)
Pt 0.000 0.500 0.000 (multiplicity 1)


(2)
Material: MgCr2W
Method: DFT, GGA-PBE
State: optimized geometry

Calculated values
**D(E_F)**: 7.1 states/eV/cell
**Final energy**: -7.978 eV per atom
**Energy relative to the elements**: 0.470 eV/atom
**E above lowest polymorph**: 143 meV per atom

a = 5.412 Å, b = 8.563 Å, c = 2.596 Å
α = 90.00°, β = 108.98°, γ = 90.00°
Space group C2/m (No. 12)
Asymmetric unit:
Mg 0.000 0.000 0.000 (multiplicity 2)
Cr 0.250 0.250 0.500 (multiplicity 4)
W 0.000 0.500 0.000 (multiplicity 2)